Record 1
The following is a DFT calculation (GGA-PBE) of a relaxed ZrCrFe crystal.

abc: 3.712 3.712 4.021
angles: 90.00 90.00 120.00
Element x y z (fractional)
1 Zr 0.333 0.667 0.666
2 Cr 0.000 0.000 0.154
3 Fe 0.667 0.333 0.181

Calculated values
Uncorrected energy ... -26.332 eV for the cell shown
Energy relative to the elements ... 100.6 meV per atom
Total magnetic moment ... 0.000 μB per atom

=====

Record 2
The following is a DFT calculation (GGA-PBE) of a relaxed ZrCrFe2 crystal.

abc: 8.482 8.482 8.482
angles: 19.17 19.17 19.17
Last column: magnetic moment on the atom in μB.
Element x y z (fractional)
1 Fe 0.012 0.012 0.012  1.97
2 Cr 0.750 0.750 0.750  -1.10
3 Fe 0.488 0.488 0.488  1.97
4 Zr 0.250 0.250 0.250  -0.06

Calculated values
Uncorrected energy ... -33.454 eV for the cell shown
Energy relative to the elements ... 410.6 meV per atom
Total magnetic moment ... 0.669 μB per atom

=====

Record 3
The following is a DFT calculation (GGA-PBE) of a relaxed ZrCrFe4 crystal.

abc: 4.827 4.827 4.827
angles: 60.00 60.00 60.00
Last column: magnetic moment on the atom in μB.
Element x y z (fractional)
1 Fe 0.374 0.374 0.374  1.77
2 Fe 0.878 0.374 0.374  1.77
3 Zr 0.750 0.750 0.750  -0.29
4 Fe 0.374 0.374 0.878  1.77
5 Cr 0.000 0.000 0.000  2.29
6 Fe 0.374 0.878 0.374  1.77

Calculated values
Uncorrected energy ... -52.136 eV for the cell shown
Energy relative to the elements ... -19.0 meV per atom
Total magnetic moment ... 1.511 μB per atom

=====

Record 4
The following is a DFT calculation (GGA-PBE) of a relaxed ZrCrFe3 crystal.

abc: 4.186 4.186 4.186
angles: 90.00 90.00 90.00
Last column: magnetic moment on the atom in μB.
Element x y z (fractional)
1 Fe 0.500 0.000 0.000  0.61
2 Fe 0.000 0.000 0.500  0.90
3 Fe 0.000 0.500 0.000  0.76
4 Zr 0.500 0.500 0.500  -0.22
5 Cr 0.000 0.000 0.000  -0.27

Calculated values
Uncorrected energy ... -40.391 eV for the cell shown
Energy relative to the elements ... 633.7 meV per atom
Total magnetic moment ... 0.329 μB per atom

=====

Record 5
The following is a DFT calculation (GGA-PBE) of a relaxed Zr2CrFe crystal.

abc: 9.154 9.154 9.154
angles: 18.93 18.93 18.93
Last column: magnetic moment on the atom in μB.
Element x y z (fractional)
1 Zr 0.240 0.240 0.240  -0.02
2 Fe 0.762 0.762 0.762  1.96
3 Zr 0.011 0.011 0.011  -0.08
4 Cr 0.488 0.488 0.488  -1.53

Calculated values
Uncorrected energy ... -33.699 eV for the cell shown
Energy relative to the elements ... 370.8 meV per atom
Total magnetic moment ... 0.045 μB per atom

=====

Record 6
The following is a DFT calculation (GGA-PBE) of a relaxed ZrCrFe2 crystal.

abc: 3.174 4.227 4.195
angles: 90.00 90.00 90.00
Last column: magnetic moment on the atom in μB.
Element x y z (fractional)
1 Fe 0.000 0.000 0.000  1.70
2 Cr 0.000 0.500 0.500  -1.05
3 Zr 0.500 0.000 0.500  -0.13
4 Fe 0.500 0.500 0.000  2.43

Calculated values
Uncorrected energy ... -34.346 eV for the cell shown
Energy relative to the elements ... 187.6 meV per atom
Total magnetic moment ... 0.705 μB per atom

=====

Please write out number 3 again, unchanged.
The following is a DFT calculation (GGA-PBE) of a relaxed ZrCrFe4 crystal.

abc: 4.827 4.827 4.827
angles: 60.00 60.00 60.00
Last column: magnetic moment on the atom in μB.
Element x y z (fractional)
1 Fe 0.374 0.374 0.374  1.77
2 Fe 0.878 0.374 0.374  1.77
3 Zr 0.750 0.750 0.750  -0.29
4 Fe 0.374 0.374 0.878  1.77
5 Cr 0.000 0.000 0.000  2.29
6 Fe 0.374 0.878 0.374  1.77

Calculated values
Uncorrected energy ... -52.136 eV for the cell shown
Energy relative to the elements ... -19.0 meV per atom
Total magnetic moment ... 1.511 μB per atom